Record 1
# Ho3Zn2Ag3

A relaxed structure of Ho3Zn2Ag3 (PBE-GGA, Alexandria via LeMat-Bulk). Values from VASP.

```
&SYSTEM
  ibrav = 0, nat = 8, ntyp = 3
/
ATOMIC_SPECIES
Ho 164.93 Ho.upf
Zn 65.41 Zn.upf
Ag 107.87 Ag.upf
CELL_PARAMETERS angstrom
7.264 0.000 0.000
-3.632 6.291 0.000
0.000 0.000 3.857
ATOMIC_POSITIONS angstrom
Ho -1.404 2.431 0.000
Ho 2.807 0.000 0.000
Ho 2.228 3.860 0.000
Zn 0.000 4.194 1.928
Zn 3.632 2.097 1.928
Ag -2.761 4.782 1.928
Ag 0.872 1.510 1.928
Ag 5.521 0.000 1.928
```

Summary:
Space-group type: P-62m (189)
DFT total energy: -3.372 eV/atom

=====

Record 2
# ScCd3Hg

A relaxed structure of ScCd3Hg (PBE-GGA, Alexandria via LeMat-Bulk). Values from VASP.

```
&SYSTEM
  ibrav = 0, nat = 15, ntyp = 3
/
ATOMIC_SPECIES
Sc 44.96 Sc.upf
Cd 112.41 Cd.upf
Hg 200.59 Hg.upf
CELL_PARAMETERS angstrom
5.673 0.000 0.000
-2.836 4.913 0.000
0.000 0.000 15.408
ATOMIC_POSITIONS angstrom
Sc 0.000 0.000 0.000
Sc 0.000 3.275 10.272
Sc 2.836 1.638 5.136
Cd -1.410 2.461 7.663
Cd 0.000 1.628 12.799
Cd -1.426 4.098 12.799
Cd 1.426 0.823 2.527
Cd 1.410 2.461 7.663
Cd 0.000 4.904 7.663
Cd 1.426 4.098 12.799
Cd 4.247 0.823 2.527
Cd 2.836 3.266 2.527
Hg 0.000 0.000 5.556
Hg 0.000 3.275 0.421
Hg 2.836 1.638 10.692
```

Summary:
Offset from the most stable computed form: 0.269 eV/atom
Space-group type: R3m (160)

=====

Record 3
# AcMoH2

A relaxed structure of AcMoH2 (PBE-GGA, Alexandria via LeMat-Bulk). Values from VASP.

```
&SYSTEM
  ibrav = 0, nat = 12, ntyp = 3
/
ATOMIC_SPECIES
Ac 227.00 Ac.upf
Mo 95.94 Mo.upf
H 1.01 H.upf
CELL_PARAMETERS angstrom
4.049 0.000 0.000
-2.024 3.506 0.000
0.000 0.000 14.746
ATOMIC_POSITIONS angstrom
Ac 0.000 0.000 0.000
Ac 0.000 2.337 9.831
Ac 2.024 1.169 4.915
Mo 0.000 0.000 7.373
Mo 0.000 2.337 2.458
Mo 2.024 1.169 12.289
H 0.000 0.000 5.557
H 0.000 0.000 9.189
H 0.000 2.337 0.642
H 0.000 2.337 4.274
H 2.024 1.169 10.472
H 2.024 1.169 14.105
```

Summary:
Space-group type: R-3m (166)
DFT total energy: -5.113 eV/atom

=====

Record 4
# BeMoPb2

A relaxed structure of BeMoPb2 (PBE-GGA, Alexandria via LeMat-Bulk). Values from VASP.

```
&SYSTEM
  ibrav = 0, nat = 16, ntyp = 3
/
ATOMIC_SPECIES
Be 9.01 Be.upf
Mo 95.94 Mo.upf
Pb 207.20 Pb.upf
CELL_PARAMETERS angstrom
7.087 0.000 0.000
0.000 7.087 0.000
0.000 0.000 7.087
ATOMIC_POSITIONS angstrom
Be 0.000 0.000 0.000
Be 0.000 3.544 3.544
Be 3.544 0.000 3.544
Be 3.544 3.544 0.000
Mo 1.772 1.772 5.315
Mo 1.772 5.315 1.772
Mo 5.315 1.772 1.772
Mo 5.315 5.315 5.315
Pb 0.000 0.000 3.544
Pb 0.000 3.544 0.000
Pb 1.772 1.772 1.772
Pb 1.772 5.315 5.315
Pb 3.544 0.000 0.000
Pb 3.544 3.544 3.544
Pb 5.315 1.772 5.315
Pb 5.315 5.315 1.772
```

Summary:
Space-group type: F-43m (216)
DFT total energy: -4.354 eV/atom

=====

Record 5
# Tb2Ga5Ag3

A relaxed structure of Tb2Ga5Ag3 (PBE-GGA, Alexandria via LeMat-Bulk). Values from VASP.

```
&SYSTEM
  ibrav = 0, nat = 20, ntyp = 3
/
ATOMIC_SPECIES
Tb 158.93 Tb.upf
Ga 69.72 Ga.upf
Ag 107.87 Ag.upf
CELL_PARAMETERS angstrom
-5.497 6.035 3.015
5.497 -6.035 3.015
5.497 6.035 -3.015
ATOMIC_POSITIONS angstrom
Tb 2.671 1.507 0.000
Tb 2.671 -1.507 3.015
Tb 2.825 7.542 0.000
Tb 2.825 4.528 3.015
Ga 5.497 -2.839 1.508
Ga 7.115 1.442 0.000
Ga 0.000 0.000 1.508
Ga 1.618 4.593 0.000
Ga 5.497 2.839 1.508
Ga 0.000 3.196 1.508
Ga 3.879 1.442 3.015
Ga 0.000 0.000 4.523
Ga -1.618 4.593 3.015
Ga 0.000 8.874 1.508
Ag 4.092 -4.434 3.015
Ag 5.497 0.000 1.508
Ag 4.092 4.434 0.000
Ag 1.404 1.601 3.015
Ag 0.000 6.035 1.508
Ag 1.404 10.469 0.000
```

Summary:
Space-group type: Ibam (72)
DFT total energy: -3.663 eV/atom

=====

Record 6
# Y2AsOs

A relaxed structure of Y2AsOs (PBE-GGA, Alexandria via LeMat-Bulk). Values from VASP.

```
&SYSTEM
  ibrav = 0, nat = 12, ntyp = 3
/
ATOMIC_SPECIES
Y 88.91 Y.upf
As 74.92 As.upf
Os 190.23 Os.upf
CELL_PARAMETERS angstrom
3.877 0.000 0.000
-1.938 3.357 0.000
0.000 0.000 21.922
ATOMIC_POSITIONS angstrom
Y 0.000 0.000 5.452
Y 0.000 0.000 16.469
Y 0.000 2.238 9.162
Y 0.000 2.238 20.067
Y 1.938 1.119 1.855
Y 1.938 1.119 12.760
As 0.000 0.000 10.961
As 0.000 2.238 3.654
As 1.938 1.119 18.268
Os 0.000 0.000 0.000
Os 0.000 2.238 14.614
Os 1.938 1.119 7.307
```

Summary:
Offset from the most stable computed form: 0.324 eV/atom
Space-group type: R-3m (166)

=====

Number 1: calculated volume 22.0 Å³/atom. Number 2: calculated volume 28.6 Å³/atom. Number 3: calculated volume 17.4 Å³/atom. Number 4: calculated volume 22.2 Å³/atom. Number 5: calculated volume 20.0 Å³/atom. Number 6: calculated volume 23.8 Å³/atom.